(1)
The following is a DFT calculation (PBE) of a geometry-optimized ZrFeAg2 structure.

Cell and atoms, written as POSCAR:
```
ZrFeAg2
1.0
-4.671 -0.662 -0.451
-0.119 -0.977 2.659
-0.900 4.392 2.877
Ag Fe Zr
2 1 1
Cartesian
-0.025 -0.011 0.275
-0.484 1.719 2.493
-2.590 0.523 1.158
-3.100 2.231 3.926
```

Computed properties:
Energy above the lowest structure with this stoichiometry = 39 kJ/mol of formula units
Raw total energy = -5.468 eV/atom
Formation energy = 0.21 eV/atom

***

(2)
The following is a DFT calculation (PBE) of a geometry-optimized ZrFe2Ag structure.

Cell and atoms, written as POSCAR:
```
ZrFe2Ag
1.0
-2.209 -1.927 -0.722
1.037 -0.128 -2.832
4.121 -5.381 1.751
Ag Fe Zr
1 2 1
Cartesian
2.655 -5.259 -0.400
0.155 -0.202 0.066
0.288 -2.169 -1.406
1.912 -2.496 0.812
```

Computed properties:
Energy above the lowest structure with this stoichiometry = 0 kJ/mol of formula units
Raw total energy = -6.994 eV/atom
Formation energy = 0.09 eV/atom

***

(3)
The following is a DFT calculation (PBE) of a geometry-optimized Zr3FeAg structure.

Cell and atoms, written as POSCAR:
```
Zr3FeAg
1.0
-0.009 -4.222 2.311
3.282 -1.696 -3.085
3.521 1.571 2.882
Zr Ag Fe
3 1 1
Cartesian
1.641 -0.848 -1.543
1.760 0.785 1.441
-0.004 -2.111 1.156
3.397 -2.174 1.054
0.000 0.000 0.000
```

Computed properties:
Raw total energy = -7.118 eV/atom
Formation energy = 0.27 eV/atom

***

(4)
The following is a DFT calculation (PBE) of a geometry-optimized Zr2FeAg structure.

Cell and atoms, written as POSCAR:
```
Zr2FeAg
1.0
-2.551 0.321 -3.942
-3.352 -2.654 1.954
-4.844 0.101 3.144
Ag Fe Zr
1 1 2
Cartesian
-5.374 -1.116 0.578
-2.422 0.051 1.572
0.000 0.000 0.000
-2.952 -1.167 -0.994
```

Computed properties:
Energy above the lowest structure with this stoichiometry = 48 kJ/mol of formula units
Raw total energy = -7.085 eV/atom
Formation energy = 0.02 eV/atom

***

(5)
The following is a DFT calculation (PBE) of a geometry-optimized ZrFeAg structure.

Cell and atoms, written as POSCAR:
```
ZrFeAg
1.0
4.479 0.000 0.000
2.239 3.879 0.000
2.239 1.293 3.657
Ag Fe Zr
1 1 1
Cartesian
0.000 0.000 0.000
4.479 2.586 1.828
6.718 3.879 2.743
```

Computed properties:
Energy above the lowest structure with this stoichiometry = 216 kJ/mol of formula units
Raw total energy = -5.771 eV/atom
Formation energy = 0.85 eV/atom

***

(6)
The following is a DFT calculation (PBE) of a geometry-optimized Zr2FeAg structure.

Cell and atoms, written as POSCAR:
```
Zr2FeAg
1.0
-0.022 3.441 1.085
-1.037 2.974 -1.760
-7.389 0.081 2.622
Ag Fe Zr
1 1 2
Cartesian
-6.335 4.872 1.460
-2.112 1.624 0.487
-1.405 6.395 -0.548
-3.877 3.268 0.846
```

Computed properties:
Energy above the lowest structure with this stoichiometry = 78 kJ/mol of formula units
Raw total energy = -7.007 eV/atom
Formation energy = 0.10 eV/atom

***

(7)
The following is a DFT calculation (PBE) of a geometry-optimized Zr2Fe2Ag structure.

Cell and atoms, written as POSCAR:
```
Zr2Fe2Ag
1.0
3.298 0.000 0.000
0.000 3.298 0.000
1.649 1.649 8.363
Zr Ag Fe
2 1 2
Cartesian
1.649 1.649 2.000
3.298 3.298 6.363
0.000 0.000 0.000
3.298 1.649 4.182
1.649 3.298 4.182
```

Computed properties:
Energy above the lowest structure with this stoichiometry = 104 kJ/mol of formula units
Raw total energy = -7.214 eV/atom
Formation energy = 0.16 eV/atom

***

(8)
The following is a DFT calculation (PBE) of a geometry-optimized ZrFe2Ag structure.

Cell and atoms, written as POSCAR:
```
ZrFe2Ag
1.0
4.051 0.000 0.000
0.000 4.052 0.000
0.000 0.000 3.718
Ag Fe Zr
1 2 1
Cartesian
0.000 2.026 1.859
0.000 0.000 0.000
2.026 2.026 0.000
2.026 0.000 1.859
```

Computed properties:
Energy above the lowest structure with this stoichiometry = 24 kJ/mol of formula units
Raw total energy = -6.931 eV/atom
Formation energy = 0.15 eV/atom